[1]
Entry from the Alexandria database: a geometry-optimized LiPm2Hf structure (GGA-PBE).

Results
ΔE to the lowest computed polymorph, meV per atom: 295.6

```
data_LiPm2Hf
_chemical_formula_sum 'Li3 Pm6 Hf3'
_cell_length_a 3.2779
_cell_length_b 3.2779
_cell_length_c 35.7644
_cell_angle_alpha 90.00
_cell_angle_beta 90.00
_cell_angle_gamma 120.00
_space_group_name_H-M_alt 'R -3 m'
_space_group_IT_number 166
_space_group_name_Hall '-R 3 2"'
loop_
_atom_site_label
_atom_site_type_symbol
_atom_site_fract_x
_atom_site_fract_y
_atom_site_fract_z
Li1 Li 0.0000 0.0000 0.0000
Pm1 Pm 0.0000 0.0000 0.4140
Hf1 Hf 0.0000 0.0000 0.5000
```

=====

[2]
Entry from the Alexandria database: a geometry-optimized SiSbSI2 structure (GGA-PBE).

Results
ΔE to the lowest computed polymorph, meV per atom: 148.8
ΔE_f (raw), eV per atom: 0.87

```
data_SiSbSI2
_chemical_formula_sum 'Si1 Sb1 S1 I2'
_cell_length_a 5.543
_cell_length_b 5.543
_cell_length_c 5.241
_cell_angle_alpha 90.00
_cell_angle_beta 90.00
_cell_angle_gamma 90.00
_space_group_name_H-M_alt 'P 4/m m m'
_space_group_IT_number 123
_space_group_name_Hall '-P 4 2'
loop_
_atom_site_label
_atom_site_type_symbol
_atom_site_fract_x
_atom_site_fract_y
_atom_site_fract_z
Si1 Si 0.000 0.000 0.000
Sb1 Sb 0.500 0.500 0.000
S1 S 0.500 0.500 0.500
I1 I 0.000 0.500 0.500
```

=====

[3]
Entry from the Alexandria database: a geometry-optimized SrTl2Os structure (GGA-PBE).

Results
Uncorrected energy, Ry per atom: -0.2868

```
data_SrTl2Os
_chemical_formula_sum 'Sr2 Tl4 Os2'
_cell_length_a 4.820
_cell_length_b 4.820
_cell_length_c 8.102
_cell_angle_alpha 90.00
_cell_angle_beta 90.00
_cell_angle_gamma 90.00
_space_group_name_H-M_alt 'I 4/m m m'
_space_group_IT_number 139
_space_group_name_Hall '-I 4 2'
loop_
_atom_site_label
_atom_site_type_symbol
_atom_site_fract_x
_atom_site_fract_y
_atom_site_fract_z
Sr1 Sr 0.000 0.000 0.000
Tl1 Tl 0.000 0.500 0.250
Os1 Os 0.000 0.000 0.500
```

=====

[4]
Entry from the Alexandria database: a geometry-optimized KAl2Pt structure (GGA-PBE).

Results
Uncorrected energy, Ry per atom: -0.3070

```
data_KAl2Pt
_chemical_formula_sum 'K2 Al4 Pt2'
_cell_length_a 7.543
_cell_length_b 4.354
_cell_length_c 6.861
_cell_angle_alpha 90.00
_cell_angle_beta 111.40
_cell_angle_gamma 90.00
_space_group_name_H-M_alt 'C 1 m 1'
_space_group_IT_number 8
loop_
_space_group_symop_operation_xyz
'x,y,z'
'x,-y,z'
'x+1/2,y+1/2,z'
'x+1/2,-y+1/2,z'
loop_
_atom_site_label
_atom_site_type_symbol
_atom_site_fract_x
_atom_site_fract_y
_atom_site_fract_z
K1 K 0.000 0.000 0.000
Al1 Al 0.028 0.500 0.582
Al2 Al 0.316 0.500 0.446
Pt1 Pt 0.177 0.000 0.530
```

=====

[5]
Entry from the Alexandria database: a geometry-optimized PaRe6 structure (GGA-PBE).

Results
ΔE to the lowest computed polymorph, meV per atom: 1186.4

```
data_PaRe6
_chemical_formula_sum 'Pa2 Re12'
_cell_length_a 6.876
_cell_length_b 6.876
_cell_length_c 6.876
_cell_angle_alpha 90.00
_cell_angle_beta 90.00
_cell_angle_gamma 90.00
_space_group_name_H-M_alt 'I m -3 m'
_space_group_IT_number 229
_space_group_name_Hall '-I 4 2 3'
loop_
_atom_site_label
_atom_site_type_symbol
_atom_site_fract_x
_atom_site_fract_y
_atom_site_fract_z
Pa1 Pa 0.000 0.000 0.000
Re1 Re 0.000 0.250 0.500
```

=====

[6]
Entry from the Alexandria database: a geometry-optimized Al2AgTe structure (GGA-PBE).

Results
ΔE_f (raw), eV per atom: 0.21

```
data_Al2AgTe
_chemical_formula_sum 'Al4 Ag2 Te2'
_cell_length_a 3.724
_cell_length_b 5.398
_cell_length_c 8.678
_cell_angle_alpha 90.00
_cell_angle_beta 90.00
_cell_angle_gamma 90.00
_space_group_name_H-M_alt 'I m m 2'
_space_group_IT_number 44
loop_
_space_group_symop_operation_xyz
'x,y,z'
'-x,-y,z'
'-x,y,z'
'x,-y,z'
'x+1/2,y+1/2,z+1/2'
'-x+1/2,-y+1/2,z+1/2'
'-x+1/2,y+1/2,z+1/2'
'x+1/2,-y+1/2,z+1/2'
loop_
_atom_site_label
_atom_site_type_symbol
_atom_site_fract_x
_atom_site_fract_y
_atom_site_fract_z
Al1 Al 0.000 0.000 0.000
Al2 Al 0.000 0.500 0.261
Ag1 Ag 0.000 0.000 0.530
Te1 Te 0.000 0.500 0.750
```

=====

[7]
Entry from the Alexandria database: a geometry-optimized Ce2ZrNp3N6 structure (GGA-PBE).

Results
ΔE_f (raw), eV per atom: -1.34

```
data_Ce2ZrNp3N6
_chemical_formula_sum 'Ce4 Zr2 Np6 N12'
_cell_length_a 6.002
_cell_length_b 10.391
_cell_length_c 5.946
_cell_angle_alpha 90.00
_cell_angle_beta 109.59
_cell_angle_gamma 90.00
_space_group_name_H-M_alt 'C 1 2/m 1'
_space_group_IT_number 12
loop_
_space_group_symop_operation_xyz
'x,y,z'
'-x,-y,-z'
'-x,y,-z'
'x,-y,z'
'x+1/2,y+1/2,z'
'-x+1/2,-y+1/2,-z'
'-x+1/2,y+1/2,-z'
'x+1/2,-y+1/2,z'
loop_
_atom_site_label
_atom_site_type_symbol
_atom_site_fract_x
_atom_site_fract_y
_atom_site_fract_z
Ce1 Ce 0.000 0.166 0.000
Zr1 Zr 0.000 0.500 0.000
Np1 Np 0.000 0.000 0.500
Np2 Np 0.000 0.333 0.500
N1 N 0.227 0.500 0.738
N2 N 0.243 0.343 0.259
```

=====

[8]
Entry from the Alexandria database: a geometry-optimized CaZn2Os structure (GGA-PBE).

Results
Uncorrected energy, Ry per atom: -0.2718

```
data_CaZn2Os
_chemical_formula_sum 'Ca1 Zn2 Os1'
_cell_length_a 2.809
_cell_length_b 4.122
_cell_length_c 6.537
_cell_angle_alpha 90.00
_cell_angle_beta 101.23
_cell_angle_gamma 90.00
_space_group_name_H-M_alt 'P 1 m 1'
_space_group_IT_number 6
loop_
_space_group_symop_operation_xyz
'x,y,z'
'x,-y,z'
loop_
_atom_site_label
_atom_site_type_symbol
_atom_site_fract_x
_atom_site_fract_y
_atom_site_fract_z
Ca1 Ca 0.000 0.000 0.000
Zn1 Zn 0.218 0.000 0.445
Zn2 Zn 0.350 0.500 0.680
Os1 Os 0.657 0.500 0.311
```